# NiMoIO2 GGA+U optimized geometry
data_NiMoIO2
_cell_length_a 4.046
_cell_length_b 4.046
_cell_length_c 5.349
_cell_angle_alpha 90.00
_cell_angle_beta 90.00
_cell_angle_gamma 90.00
_symmetry_space_group_name_H-M 'P 1'
_symmetry_Int_Tables_number 1
_symmetry_space_group_name_Hall 'P 1'
loop_
_atom_site_label
_atom_site_fract_x
_atom_site_fract_y
_atom_site_fract_z
_atom_site_occupancy
Ni1 0.000 0.000 0.000 1
Mo1 0.500 0.500 0.500 1
I1 0.000 0.000 0.500 1
O1 0.000 0.500 0.000 1
O2 0.500 0.000 0.000 1
# M_tot = 0.6000 μB per atom
# Space-group type = No. 123
# Volume = 17.5 Å³/atom
# Excess energy over the best structure of this formula in the dataset = 767 meV per atom